Version i
This record from OQMD describes a relaxed structure of PdW2. The functional is PBE.

Cell lengths 6.228, 6.228, 5.020 Å; angles 90.00, 90.00, 90.00 degrees
Space group I4/mcm (No. 140)
Unique sites:
Pd 0.000 0.000 0.250 (multiplicity 4)
W 0.141 0.359 0.000 (multiplicity 8)

The mass density comes out at 16.17 g/cm3. The spin magnetization is 0.00 Bohr magnetons per cell.



Version ii
This record from OQMD describes a relaxed structure of PdW2. The functional is PBE.

Cell lengths 7.395, 7.395, 7.395 Å; angles 90.00, 90.00, 90.00 degrees
Space group Fd-3m (No. 227, origin choice 2)
Unique sites:
Pd 0.125 0.125 0.125 (multiplicity 8)
W 0.000 0.000 0.500 (multiplicity 16)

The mass density comes out at 15.58 g/cm3. The spin magnetization is 0.00 Bohr magnetons per cell.



Tell me which of them is the least stable. Sure, it is version ii.



Version i
This record from OQMD describes a relaxed structure of Y3Pd2. The functional is PBE.

Cell lengths 8.411, 8.411, 3.302 Å; angles 90.00, 90.00, 90.00 degrees
Space group P4/mbm (No. 127)
Unique sites:
Y 0.000 0.000 0.000 (multiplicity 2)
Y 0.138 0.362 0.000 (multiplicity 4)
Pd 0.161 0.661 0.500 (multiplicity 4)

The mass density comes out at 6.82 g/cm3. The spin magnetization is 0.02 Bohr magnetons per cell.



Version ii
This record from OQMD describes a relaxed structure of Y3Pd2. The functional is PBE.

Cell lengths 7.825, 7.825, 3.933 Å; angles 90.00, 90.00, 90.00 degrees
Space group P4/mbm (No. 127)
Unique sites:
Y 0.000 0.000 0.000 (multiplicity 2)
Y 0.164 0.336 0.500 (multiplicity 4)
Pd 0.132 0.632 0.000 (multiplicity 4)

The mass density comes out at 6.61 g/cm3. The spin magnetization is 0.04 Bohr magnetons per cell.



Tell me which of them is the least stable. Sure, it is version i.



Version i
This record from OQMD describes a relaxed structure of Y2ZrPd2. The functional is PBE.

Cell lengths 7.635, 7.635, 3.891 Å; angles 90.00, 90.00, 90.00 degrees
Space group P4/mbm (No. 127)
Unique sites:
Y 0.169 0.331 0.000 (multiplicity 4)
Zr 0.000 0.000 0.500 (multiplicity 2)
Pd 0.132 0.632 0.500 (multiplicity 4)

The mass density comes out at 7.06 g/cm3. The spin magnetization is 0.22 Bohr magnetons per cell.



Version ii
This record from OQMD describes a relaxed structure of Y2ZrPd2. The functional is PBE.

Cell lengths 4.085, 4.085, 14.219 Å; angles 90.00, 90.00, 90.00 degrees
Space group I4/mmm (No. 139)
Unique sites:
Y 0.000 0.000 0.116 (multiplicity 4)
Zr 0.000 0.000 0.500 (multiplicity 2)
Pd 0.000 0.500 0.250 (multiplicity 4)

The mass density comes out at 6.74 g/cm3. The spin magnetization is 3.37 Bohr magnetons per cell.



Tell me which of them is the least stable. Sure, it is version ii.



Version i
This record from OQMD describes a relaxed structure of ZnPd10. The functional is PBE.

Cell lengths 8.784, 3.880, 31.403 Å; angles 90.00, 90.11, 90.00 degrees
Space group C2/m (No. 12)
Unique sites:
Zn 0.153 0.000 0.208 (multiplicity 4)
Pd 0.046 0.000 0.687 (multiplicity 4)
Pd 0.049 0.500 0.543 (multiplicity 4)
Pd 0.051 0.500 0.254 (multiplicity 4)
Pd 0.052 0.000 0.400 (multiplicity 4)
Pd 0.148 0.500 0.629 (multiplicity 4)
Pd 0.149 0.000 0.775 (multiplicity 4)
Pd 0.150 0.000 0.486 (multiplicity 4)
Pd 0.152 0.500 0.342 (multiplicity 4)
Pd 0.244 0.500 0.714 (multiplicity 4)
Pd 0.248 0.000 0.571 (multiplicity 4)

The mass density comes out at 7.01 g/cm3.



Version ii
This record from OQMD describes a relaxed structure of ZnPd10. The functional is PBE.

Cell lengths 4.759, 2.801, 35.364 Å; angles 90.00, 90.56, 90.00 degrees
Space group P2_1/m (No. 11)
Unique sites:
Zn 0.083 0.250 0.320 (multiplicity 2)
Pd 0.082 0.250 0.740 (multiplicity 2)
Pd 0.083 0.250 0.130 (multiplicity 2)
Pd 0.083 0.250 0.935 (multiplicity 2)
Pd 0.249 0.750 0.194 (multiplicity 2)
Pd 0.250 0.750 0.000 (multiplicity 2)
Pd 0.250 0.750 0.806 (multiplicity 2)
Pd 0.417 0.250 0.065 (multiplicity 2)
Pd 0.417 0.250 0.259 (multiplicity 2)
Pd 0.417 0.250 0.871 (multiplicity 2)
Pd 0.418 0.250 0.676 (multiplicity 2)

The mass density comes out at 7.96 g/cm3.



Tell me which of them is the least stable. Sure, it is version i.



Version i
This record from OQMD describes a relaxed structure of ZnPd15. The functional is PBE.

Cell lengths 7.865, 45.079, 3.923 Å; angles 90.00, 90.00, 90.00 degrees
Space group Pccm (No. 49)
Unique sites:
Zn 0.147 0.173 0.000 (multiplicity 4)
Pd 0.122 0.211 0.500 (multiplicity 4)
Pd 0.123 0.257 0.000 (multiplicity 4)
Pd 0.124 0.302 0.500 (multiplicity 4)
Pd 0.125 0.346 0.000 (multiplicity 4)
Pd 0.125 0.390 0.500 (multiplicity 4)
Pd 0.125 0.434 0.000 (multiplicity 4)
Pd 0.125 0.478 0.500 (multiplicity 4)
Pd 0.372 0.168 0.500 (multiplicity 4)
Pd 0.372 0.258 0.500 (multiplicity 4)
Pd 0.375 0.301 0.000 (multiplicity 4)
Pd 0.375 0.346 0.500 (multiplicity 4)
Pd 0.375 0.390 0.000 (multiplicity 4)
Pd 0.375 0.434 0.500 (multiplicity 4)
Pd 0.375 0.478 0.000 (multiplicity 4)
Pd 0.377 0.214 0.000 (multiplicity 4)

The mass density comes out at 7.93 g/cm3.



Version ii
This record from OQMD describes a relaxed structure of ZnPd15. The functional is PBE.

Cell lengths 3.914, 3.915, 45.253 Å; angles 90.00, 90.00, 90.00 degrees
Space group Pmma (No. 51)
Unique sites:
Zn 0.250 0.000 0.172 (multiplicity 2)
Pd 0.250 0.000 0.257 (multiplicity 2)
Pd 0.250 0.000 0.346 (multiplicity 2)
Pd 0.250 0.000 0.434 (multiplicity 2)
Pd 0.250 0.000 0.522 (multiplicity 2)
Pd 0.250 0.000 0.610 (multiplicity 2)
Pd 0.250 0.000 0.698 (multiplicity 2)
Pd 0.250 0.000 0.787 (multiplicity 2)
Pd 0.250 0.500 0.213 (multiplicity 2)
Pd 0.250 0.500 0.302 (multiplicity 2)
Pd 0.250 0.500 0.390 (multiplicity 2)
Pd 0.250 0.500 0.478 (multiplicity 2)
Pd 0.250 0.500 0.566 (multiplicity 2)
Pd 0.250 0.500 0.654 (multiplicity 2)
Pd 0.250 0.500 0.743 (multiplicity 2)
Pd 0.250 0.500 0.831 (multiplicity 2)

The mass density comes out at 7.96 g/cm3.



Tell me which of them is the least stable. Sure, it is version i.



Version i
This record from OQMD describes a relaxed structure of ZnPd15. The functional is PBE.

Cell lengths 5.531, 2.784, 45.157 Å; angles 90.00, 90.01, 90.00 degrees
Space group P2_1/m (No. 11)
Unique sites:
Zn 0.125 0.250 0.174 (multiplicity 2)
Pd 0.124 0.250 0.698 (multiplicity 2)
Pd 0.125 0.250 0.257 (multiplicity 2)
Pd 0.125 0.250 0.346 (multiplicity 2)
Pd 0.125 0.250 0.434 (multiplicity 2)
Pd 0.125 0.250 0.522 (multiplicity 2)
Pd 0.125 0.250 0.610 (multiplicity 2)
Pd 0.127 0.250 0.788 (multiplicity 2)
Pd 0.374 0.750 0.302 (multiplicity 2)
Pd 0.375 0.750 0.390 (multiplicity 2)
Pd 0.375 0.750 0.478 (multiplicity 2)
Pd 0.375 0.750 0.566 (multiplicity 2)
Pd 0.375 0.750 0.654 (multiplicity 2)
Pd 0.375 0.750 0.743 (multiplicity 2)
Pd 0.375 0.750 0.832 (multiplicity 2)
Pd 0.376 0.750 0.212 (multiplicity 2)

The mass density comes out at 7.94 g/cm3.



Version ii
This record from OQMD describes a relaxed structure of ZnPd15. The functional is PBE.

Cell lengths 5.553, 3.927, 36.231 Å; angles 90.00, 90.01, 90.00 degrees
Space group P2_1/m (No. 11)
Unique sites:
Zn 0.125 0.250 0.215 (multiplicity 2)
Pd 0.123 0.250 0.754 (multiplicity 2)
Pd 0.124 0.250 0.675 (multiplicity 2)
Pd 0.125 0.250 0.287 (multiplicity 2)
Pd 0.125 0.250 0.365 (multiplicity 2)
Pd 0.125 0.250 0.442 (multiplicity 2)
Pd 0.125 0.250 0.519 (multiplicity 2)
Pd 0.125 0.250 0.597 (multiplicity 2)
Pd 0.373 0.750 0.246 (multiplicity 2)
Pd 0.374 0.750 0.326 (multiplicity 2)
Pd 0.375 0.750 0.403 (multiplicity 2)
Pd 0.375 0.750 0.481 (multiplicity 2)
Pd 0.375 0.750 0.558 (multiplicity 2)
Pd 0.375 0.750 0.636 (multiplicity 2)
Pd 0.375 0.750 0.713 (multiplicity 2)
Pd 0.375 0.750 0.789 (multiplicity 2)

The mass density comes out at 6.98 g/cm3.



Tell me which of them is the least stable. Sure, it is version ii.



Version i
This record from OQMD describes a relaxed structure of ZnPd15. The functional is PBE.

Cell lengths 4.809, 36.301, 4.809 Å; angles 90.00, 109.71, 90.00 degrees
Space group P2/c (No. 13)
Unique sites:
Zn 0.000 0.215 0.250 (multiplicity 2)
Pd 0.000 0.246 0.750 (multiplicity 2)
Pd 0.000 0.287 0.250 (multiplicity 2)
Pd 0.000 0.326 0.750 (multiplicity 2)
Pd 0.000 0.365 0.250 (multiplicity 2)
Pd 0.000 0.403 0.750 (multiplicity 2)
Pd 0.000 0.442 0.250 (multiplicity 2)
Pd 0.000 0.481 0.750 (multiplicity 2)
Pd 0.500 0.211 0.750 (multiplicity 2)
Pd 0.500 0.246 0.250 (multiplicity 2)
Pd 0.500 0.286 0.750 (multiplicity 2)
Pd 0.500 0.326 0.250 (multiplicity 2)
Pd 0.500 0.364 0.750 (multiplicity 2)
Pd 0.500 0.403 0.250 (multiplicity 2)
Pd 0.500 0.442 0.750 (multiplicity 2)
Pd 0.500 0.481 0.250 (multiplicity 2)

The mass density comes out at 6.98 g/cm3.



Version ii
This record from OQMD describes a relaxed structure of ZnPd15. The functional is PBE.

Cell lengths 7.846, 2.781, 36.266 Å; angles 90.00, 90.00, 90.00 degrees
Space group P2_1/m (No. 11)
Unique sites:
Zn 0.125 0.250 0.216 (multiplicity 2)
Pd 0.116 0.250 0.755 (multiplicity 2)
Pd 0.124 0.250 0.675 (multiplicity 2)
Pd 0.125 0.250 0.288 (multiplicity 2)
Pd 0.125 0.250 0.365 (multiplicity 2)
Pd 0.125 0.250 0.442 (multiplicity 2)
Pd 0.126 0.250 0.519 (multiplicity 2)
Pd 0.126 0.250 0.597 (multiplicity 2)
Pd 0.366 0.750 0.245 (multiplicity 2)
Pd 0.374 0.750 0.325 (multiplicity 2)
Pd 0.375 0.750 0.558 (multiplicity 2)
Pd 0.375 0.750 0.636 (multiplicity 2)
Pd 0.375 0.750 0.713 (multiplicity 2)
Pd 0.375 0.750 0.788 (multiplicity 2)
Pd 0.376 0.750 0.403 (multiplicity 2)
Pd 0.376 0.750 0.481 (multiplicity 2)

The mass density comes out at 6.97 g/cm3.



Tell me which of them is the least stable. Sure, it is version ii.